Entry from Alexandria via LeMat-Bulk: a relaxed KTlInTc2 crystal (GGA-PBE).

Output
- N(E_F): 3.857 states/eV per cell
- V: 164.0 Å³/f.u.
- Raw total energy: -3.6789 eV/atom
- ΔH_f (0 K): 1.708 eV/atom
- Space group: P4/mmm (123)

abc: 5.2850 5.8731 5.2850
angles: 90.00 90.00 90.00
Each line ends with the local moment (μB).
Element x y z (fractional)
1 Tl 0.0000 0.0000 0.0000  -0.09
2 Tc 0.5000 0.0000 0.0000  2.45
3 Tc 0.0000 0.0000 0.5000  2.94
4 K 0.0000 0.5000 0.0000  -0.03
5 In 0.5000 0.5000 0.5000  -0.09